This record from Alexandria describes an optimized crystal structure of MnSiO3. The functional is PBE with a Hubbard U.

abc: 6.6627 8.5402 14.0380
angles: 106.20 105.12 100.76
Last column: nearest neighbours and their distance in Å.
Sites, in units of the cell vectors:
Mn 0.1343 0.1212 0.2276  1 O 1.92
Mn 0.9013 0.3242 0.1028  4 O 1.85-1.97
Mn 0.0987 0.6758 0.8972  4 O 1.85-1.97
Mn 0.1867 0.4296 0.5766  5 O 2.07-2.28
Mn 0.4053 0.1704 0.6418  3 O 1.93-2.12
Mn 0.8133 0.5704 0.4234  5 O 2.07-2.28
Mn 0.5947 0.8296 0.3582  3 O 1.93-2.12
Mn 0.0000 0.0000 0.0000  4 O 1.94-1.96
Mn 0.8657 0.8788 0.7724  1 O 1.92
Mn 0.5000 0.0000 0.0000  6 O 2.20-2.40
Si 0.8070 0.6516 0.0533  2 O 1.60-1.63
Si 0.4923 0.3063 0.8957  2 O 1.58-1.65
Si 0.6624 0.2815 0.5366  4 O 1.60-1.75
Si 0.3376 0.7185 0.4634  4 O 1.60-1.75
Si 0.8683 0.1061 0.6078  4 O 1.58-1.75
Si 0.1930 0.3484 0.9467  2 O 1.60-1.63
Si 0.6052 0.6365 0.8240  3 O 1.59-1.66
Si 0.1317 0.8939 0.3922  4 O 1.58-1.75
Si 0.3948 0.3635 0.1760  3 O 1.59-1.66
Si 0.5077 0.6937 0.1043  2 O 1.58-1.65
O 0.8531 0.0905 0.0981  3 Mn 1.94-2.16
O 0.6540 0.8440 0.8812  1 Si 1.66
O 0.6192 0.2542 0.9947  1 Si 1.65
O 0.1515 0.0386 0.3428  1 Si 1.58
O 0.1057 0.1957 0.6090  1 Si 1.62
O 0.5283 0.8228 0.2144  1 Si 1.58
O 0.0553 0.4526 0.8917  1 Si 1.60
O 0.1790 0.3717 0.2138  1 Si 1.66
O 0.3460 0.1560 0.1188  1 Si 1.66
O 0.9791 0.7981 0.0384  1 Si 1.63
O 0.4243 0.2974 0.5331  1 Si 1.61
O 0.6392 0.5231 0.9182  3 Si 1.82-1.84
O 0.0209 0.2019 0.9616  1 Si 1.63
O 0.6957 0.0807 0.4837  2 Si 1.75
O 0.4717 0.1772 0.7856  1 Si 1.58
O 0.3608 0.4769 0.0818  3 Si 1.82-1.84
O 0.8288 0.4165 0.5145  1 Si 1.60
O 0.5757 0.7026 0.4669  1 Si 1.61
O 0.8210 0.6283 0.7862  1 Si 1.66
O 0.3808 0.7458 0.0053  1 Si 1.65
O 0.8485 0.9614 0.6572  1 Si 1.58
O 0.1469 0.9095 0.9019  3 Mn 1.94-2.16
O 0.1712 0.5835 0.4855  1 Si 1.60
O 0.9447 0.5474 0.1083  1 Si 1.60
O 0.3043 0.9193 0.5163  2 Si 1.75
O 0.2442 0.7402 0.3429  2 Si 1.70-1.72
O 0.8943 0.8043 0.3910  1 Si 1.62
O 0.7558 0.2598 0.6571  2 Si 1.70-1.72
O 0.6250 0.4598 0.2630  1 Si 1.59
O 0.3750 0.5402 0.7370  1 Si 1.59

Calculated values
E in eV per atom: -7.5737
Crystal system: triclinic